Run w
A plane-wave DFT calculation with PBE-GGA was carried out for a geometry-optimized BaYRu structure.

Output
- theoretical density (g/cm³) = 5.31
- space group = P3m1, No. 156

```
3
Lattice="4.292 0.000 0.000 -2.146 3.717 0.000 0.000 0.000 6.415" Properties=species:S:1:pos:R:3 pbc="T T T"
Ba 0.000 0.000 0.000
Y 2.146 1.239 3.014
Ru 0.000 2.478 1.912
```

Run x
A plane-wave DFT calculation with PBE-GGA was carried out for a geometry-optimized BaYRu structure.

Output
- theoretical density (g/cm³) = 6.02
- space group = F-43m, No. 216

```
3
Lattice="0.000 3.561 3.561 3.561 0.000 3.561 3.561 3.561 0.000" Properties=species:S:1:pos:R:3 pbc="T T T"
Ba 0.000 0.000 0.000
Y 3.561 3.561 3.561
Ru 1.781 1.781 1.781
```

Energies in kJ/mol of atoms, measured from the most stable structure: run w 0.0; run x 5.1.

Run w
A plane-wave DFT calculation with PBE-GGA was carried out for a geometry-optimized BaYRu structure.

Output
- theoretical density (g/cm³) = 6.48
- space group = F-43m, No. 216

```
3
Lattice="0.000 3.475 3.475 3.475 0.000 3.475 3.475 3.475 0.000" Properties=species:S:1:pos:R:3 pbc="T T T"
Ba 0.000 0.000 0.000
Y 5.212 5.212 5.212
Ru 1.737 1.737 1.737
```

Run x
A plane-wave DFT calculation with PBE-GGA was carried out for a geometry-optimized BaYRu structure.

Output
- theoretical density (g/cm³) = 5.93
- space group = I4mm, No. 107

```
3
Lattice="-1.797 1.797 7.101 1.797 -1.797 7.101 1.797 1.797 -7.101" Properties=species:S:1:pos:R:3 pbc="T T T"
Ba 0.000 0.000 0.000
Y 0.000 0.000 3.486
Ru 0.000 0.000 9.214
```

Energies in kJ/mol of atoms, measured from the most stable structure: run w 104.3; run x 0.0.

Run w
A plane-wave DFT calculation with PBE-GGA was carried out for a geometry-optimized BaZnRu3 structure.

Output
- theoretical density (g/cm³) = 6.39
- space group = Pm-3m, No. 221

```
5
Lattice="5.086 0.000 0.000 0.000 5.086 0.000 0.000 0.000 5.086" Properties=species:S:1:pos:R:3 pbc="T T T"
Ba 0.000 0.000 0.000
Zn 2.543 2.543 2.543
Ru 0.000 0.000 2.543
Ru 0.000 2.543 0.000
Ru 2.543 0.000 0.000
```

Run x
A plane-wave DFT calculation with PBE-GGA was carried out for a geometry-optimized BaZnRu3 structure.

Output
- theoretical density (g/cm³) = 7.65
- space group = Pm-3m, No. 221

```
5
Lattice="4.789 0.000 0.000 0.000 4.789 0.000 0.000 0.000 4.789" Properties=species:S:1:pos:R:3 pbc="T T T"
Ba 0.000 0.000 0.000
Zn 2.394 2.394 2.394
Ru 0.000 2.394 2.394
Ru 2.394 0.000 2.394
Ru 2.394 2.394 0.000
```

Energies in kJ/mol of atoms, measured from the most stable structure: run w 140.4; run x 0.0.

Run w
A plane-wave DFT calculation with PBE-GGA was carried out for a geometry-optimized BaZrRu structure.

Output
- theoretical density (g/cm³) = 5.95
- space group = P3m1, No. 156

```
3
Lattice="4.077 0.000 0.000 -2.038 3.531 0.000 0.000 0.000 6.389" Properties=species:S:1:pos:R:3 pbc="T T T"
Ba 0.000 0.000 0.000
Zr 0.000 2.354 3.159
Ru 2.038 1.177 2.096
```

Run x
A plane-wave DFT calculation with PBE-GGA was carried out for a geometry-optimized BaZrRu structure.

Output
- theoretical density (g/cm³) = 6.66
- space group = F-43m, No. 216

```
3
Lattice="0.000 3.452 3.452 3.452 0.000 3.452 3.452 3.452 0.000" Properties=species:S:1:pos:R:3 pbc="T T T"
Ba 0.000 0.000 0.000
Zr 3.452 3.452 3.452
Ru 1.726 1.726 1.726
```

Run y
A plane-wave DFT calculation with PBE-GGA was carried out for a geometry-optimized BaZrRu structure.

Output
- theoretical density (g/cm³) = 6.67
- space group = I4mm, No. 107

```
3
Lattice="-1.724 1.724 6.900 1.724 -1.724 6.900 1.724 1.724 -6.900" Properties=species:S:1:pos:R:3 pbc="T T T"
Ba 0.000 0.000 0.000
Zr 0.000 0.000 10.207
Ru 0.000 0.000 4.470
```

Run z
A plane-wave DFT calculation with PBE-GGA was carried out for a geometry-optimized BaZrRu structure.

Output
- theoretical density (g/cm³) = 7.27
- space group = F-43m, No. 216

```
3
Lattice="0.000 3.351 3.351 3.351 0.000 3.351 3.351 3.351 0.000" Properties=species:S:1:pos:R:3 pbc="T T T"
Ba 0.000 0.000 0.000
Zr 5.027 5.027 5.027
Ru 1.676 1.676 1.676
```

Energies in kJ/mol of atoms, measured from the most stable structure: run w 15.5; run x 40.5; run y 0.0; run z 135.9.

Run w
A plane-wave DFT calculation with PBE-GGA was carried out for a geometry-optimized BaS4 structure.

Output
- theoretical density (g/cm³) = 3.48
- space group = I4/m, No. 87

```
5
Lattice="-3.326 3.326 2.860 3.326 -3.326 2.860 3.326 3.326 -2.860" Properties=species:S:1:pos:R:3 pbc="T T T"
Ba 0.000 0.000 0.000
S 3.552 1.725 0.000
S 1.725 3.100 0.000
S 1.601 0.226 2.860
S -0.226 1.601 2.860
```

Run x
A plane-wave DFT calculation with PBE-GGA was carried out for a geometry-optimized BaS4 structure.

Output
- theoretical density (g/cm³) = 1.89
- space group = Pm-3m, No. 221

```
5
Lattice="6.159 0.000 0.000 0.000 6.159 0.000 0.000 0.000 6.159" Properties=species:S:1:pos:R:3 pbc="T T T"
Ba 0.000 0.000 0.000
S 0.000 0.000 3.079
S 0.000 3.079 0.000
S 3.079 0.000 0.000
S 3.079 3.079 3.079
```

Energies in kJ/mol of atoms, measured from the most stable structure: run w 0.0; run x 116.2.

Run w
A plane-wave DFT calculation with PBE-GGA was carried out for a geometry-optimized Ba2SbS structure.

Output
- theoretical density (g/cm³) = 4.60
- space group = R-3m, No. 166

```
4
Lattice="2.293 1.324 8.493 -2.293 1.324 8.493 0.000 -2.648 8.493" Properties=species:S:1:pos:R:3 pbc="T T T"
Ba 0.000 0.000 6.094
Ba 0.000 0.000 19.385
Sb 0.000 0.000 0.000
S 0.000 0.000 12.739
```

Run x
A plane-wave DFT calculation with PBE-GGA was carried out for a geometry-optimized Ba2SbS structure.

Output
- theoretical density (g/cm³) = 4.14
- space group = I-42d, No. 122

```
8
Lattice="-4.293 4.293 4.666 4.293 -4.293 4.666 4.293 4.293 -4.666" Properties=species:S:1:pos:R:3 pbc="T T T"
Ba 6.440 1.781 -1.166
Ba 1.781 2.147 1.166
Ba -2.147 2.512 3.499
Ba 2.512 2.147 5.832
Sb 4.293 0.000 2.333
Sb 0.000 0.000 4.666
S 0.000 0.000 0.000
S 0.000 4.293 2.333
```

Run y
A plane-wave DFT calculation with PBE-GGA was carried out for a geometry-optimized Ba2SbS structure.

Output
- theoretical density (g/cm³) = 4.79
- space group = Cmcm, No. 63

```
8
Lattice="2.432 -12.964 0.000 2.432 12.964 0.000 0.000 0.000 4.713" Properties=species:S:1:pos:R:3 pbc="T T T"
Ba 2.432 11.181 3.535
Ba 2.432 4.907 3.535
Ba 2.432 -4.907 1.178
Ba 2.432 -11.181 1.178
Sb 2.432 1.173 3.535
Sb 2.432 -1.173 1.178
S 2.432 8.022 3.535
S 2.432 -8.022 1.178
```

Energies in kJ/mol of atoms, measured from the most stable structure: run w 2.8; run x 23.0; run y 0.0.

Run w
A plane-wave DFT calculation with PBE-GGA was carried out for a geometry-optimized Ba2SbS structure.

Output
- theoretical density (g/cm³) = 5.39
- space group = P4/mmm, No. 123

```
4
Lattice="3.917 0.000 0.000 0.000 3.917 0.000 0.000 0.000 8.608" Properties=species:S:1:pos:R:3 pbc="T T T"
Ba 0.000 0.000 1.891
Ba 0.000 0.000 6.717
Sb 1.958 1.958 4.304
S 1.958 1.958 0.000
```

Run x
A plane-wave DFT calculation with PBE-GGA was carried out for a geometry-optimized Ba2SbS structure.

Output
- theoretical density (g/cm³) = 5.11
- space group = Fm-3m, No. 225

```
4
Lattice="0.000 4.114 4.114 4.114 0.000 4.114 4.114 4.114 0.000" Properties=species:S:1:pos:R:3 pbc="T T T"
Ba 2.057 2.057 2.057
Ba 6.171 6.171 6.171
Sb 0.000 0.000 0.000
S 4.114 4.114 4.114
```

Energies in kJ/mol of atoms, measured from the most stable structure: run w 0.0; run x 22.8.

Run w
A plane-wave DFT calculation with PBE-GGA was carried out for a geometry-optimized BaSb3S structure.

Output
- theoretical density (g/cm³) = 5.63
- space group = Pm-3m, No. 221

```
5
Lattice="5.403 0.000 0.000 0.000 5.403 0.000 0.000 0.000 5.403" Properties=species:S:1:pos:R:3 pbc="T T T"
Ba 0.000 0.000 0.000
Sb 0.000 2.701 2.701
Sb 2.701 0.000 2.701
Sb 2.701 2.701 0.000
S 2.701 2.701 2.701
```

Run x
A plane-wave DFT calculation with PBE-GGA was carried out for a geometry-optimized BaSb3S structure.

Output
- theoretical density (g/cm³) = 3.53
- space group = Pm-3m, No. 221

```
5
Lattice="6.313 0.000 0.000 0.000 6.313 0.000 0.000 0.000 6.313" Properties=species:S:1:pos:R:3 pbc="T T T"
Ba 0.000 0.000 0.000
Sb 0.000 0.000 3.156
Sb 0.000 3.156 0.000
Sb 3.156 0.000 0.000
S 3.156 3.156 3.156
```

Energies in kJ/mol of atoms, measured from the most stable structure: run w 0.0; run x 144.0.

Run w
A plane-wave DFT calculation with PBE-GGA was carried out for a geometry-optimized Ba2Sb2S5 structure.

Output
- theoretical density (g/cm³) = 4.01
- space group = Ima2, No. 46

```
18
Lattice="-9.284 3.889 3.889 9.284 -3.889 3.889 9.284 3.889 -3.889" Properties=species:S:1:pos:R:3 pbc="T T T"
Ba 2.036 0.095 0.000
Ba 7.248 0.095 0.000
Ba 2.036 3.793 3.889
Ba 7.248 3.793 3.889
Sb 0.000 0.000 3.828
Sb 9.284 0.000 3.828
Sb 4.642 -0.150 4.350
Sb 4.642 4.039 0.461
S 13.926 1.521 -0.521
S 2.694 3.102 -0.794
S 6.590 3.102 -0.794
S -0.336 2.118 1.650
S 9.620 2.118 1.650
S 2.694 0.786 3.094
S 6.590 0.786 3.094
S -4.642 2.368 3.367
S 0.336 5.659 1.650
S -0.336 1.770 5.538
```

Run x
A plane-wave DFT calculation with PBE-GGA was carried out for a geometry-optimized Ba2Sb2S5 structure.

Output
- theoretical density (g/cm³) = 4.07
- space group = C2/m, No. 12

```
9
Lattice="7.460 -2.714 0.000 7.460 2.714 0.000 -3.220 0.000 6.838" Properties=species:S:1:pos:R:3 pbc="T T T"
Ba 0.674 0.000 2.011
Ba 11.025 0.000 4.827
Sb 4.755 0.000 0.869
Sb 6.944 0.000 5.969
S -0.685 0.000 6.177
S 3.685 0.000 3.106
S 7.460 0.000 0.000
S 8.014 0.000 3.732
S 12.385 0.000 0.661
```

Energies in kJ/mol of atoms, measured from the most stable structure: run w 0.0; run x 4.3.

Run w
A plane-wave DFT calculation with PBE-GGA was carried out for a geometry-optimized BaSbS3 structure.

Output
- theoretical density (g/cm³) = 3.09
- space group = Pm-3m, No. 221

```
5
Lattice="5.758 0.000 0.000 0.000 5.758 0.000 0.000 0.000 5.758" Properties=species:S:1:pos:R:3 pbc="T T T"
Ba 0.000 0.000 0.000
Sb 2.879 2.879 2.879
S 0.000 0.000 2.879
S 0.000 2.879 0.000
S 2.879 0.000 0.000
```

Run x
A plane-wave DFT calculation with PBE-GGA was carried out for a geometry-optimized BaSbS3 structure.

Output
- theoretical density (g/cm³) = 3.46
- space group = P2_1/m, No. 11

```
10
Lattice="7.481 0.000 0.000 0.000 5.103 0.000 -3.375 0.000 8.932" Properties=species:S:1:pos:R:3 pbc="T T T"
Ba 0.167 1.276 3.328
Ba 3.939 3.827 5.604
Sb 0.048 1.276 7.530
Sb 4.059 3.827 1.401
S -1.749 1.276 5.838
S -0.593 3.827 7.880
S 2.163 3.827 2.866
S 1.944 1.276 6.066
S 4.700 1.276 1.052
S 5.855 3.827 3.094
```

Run y
A plane-wave DFT calculation with PBE-GGA was carried out for a geometry-optimized BaSbS3 structure.

Output
- theoretical density (g/cm³) = 4.44
- space group = Pm-3m, No. 221

```
5
Lattice="5.104 0.000 0.000 0.000 5.104 0.000 0.000 0.000 5.104" Properties=species:S:1:pos:R:3 pbc="T T T"
Ba 0.000 0.000 0.000
Sb 2.552 2.552 2.552
S 0.000 2.552 2.552
S 2.552 0.000 2.552
S 2.552 2.552 0.000
```

Energies in kJ/mol of atoms, measured from the most stable structure: run w 144.5; run x 0.0; run y 4.7.

Run w
A plane-wave DFT calculation with PBE-GGA was carried out for a geometry-optimized Ba2Sb2S structure.

Output
- theoretical density (g/cm³) = 5.04
- space group = P4/mbm, No. 127

```
10
Lattice="8.629 0.000 0.000 0.000 8.629 0.000 0.000 0.000 4.870" Properties=species:S:1:pos:R:3 pbc="T T T"
Ba 1.606 2.708 0.000
Ba 2.708 7.023 0.000
Ba 5.921 1.606 0.000
Ba 7.023 5.921 0.000
Sb 0.975 5.290 2.435
Sb 3.339 0.975 2.435
Sb 5.290 7.654 2.435
Sb 7.654 3.339 2.435
S 0.000 0.000 2.435
S 4.314 4.314 2.435
```

Run x
A plane-wave DFT calculation with PBE-GGA was carried out for a geometry-optimized Ba2Sb2S structure.

Output
- theoretical density (g/cm³) = 4.67
- space group = I4/mmm, No. 139

```
5
Lattice="-3.357 3.357 4.341 3.357 -3.357 4.341 3.357 3.357 -4.341" Properties=species:S:1:pos:R:3 pbc="T T T"
Ba 3.357 0.000 2.170
Ba 0.000 3.357 2.170
Sb 0.000 0.000 1.492
Sb 0.000 0.000 7.190
S 0.000 0.000 4.341
```

Energies in kJ/mol of atoms, measured from the most stable structure: run w 0.0; run x 14.4.